DFT (PBE with a Hubbard U) results for an optimized crystal structure of Li2CdNiF6.

Calculated values
Size of the total moment: 0.195 μB/atom
Final energy: -43.3 eV per cell
SG: R3 (146)
D(E_F): 0.0 states/eV/f.u.

abc: 5.283 5.284 5.691
angles: 62.32 62.39 60.04
Last column: magnetic moment on the atom in μB.
Sites, in units of the cell vectors:
F 0.241 0.920 0.247  0.02
F 0.378 0.722 0.767  0.02
F 0.593 0.241 0.247  0.02
F 0.920 0.594 0.246  0.02
F 0.132 0.377 0.768  0.02
F 0.721 0.134 0.767  0.02
Li 0.018 0.016 0.948  0.00
Li 0.529 0.528 0.415  0.00
Cd 0.810 0.810 0.570  0.00
Ni 0.320 0.320 0.040  1.82